[1]
DFT (PBE-GGA) results for crystalline Eu2ScCd at its relaxed geometry.

Unit cell a=4.0073 b=4.0073 c=7.6656 alpha=90.00 beta=90.00 gamma=90.00
With the nearest neighbours (Å) after each atom.
Atoms (fractional coordinates):
Eu (0.0000, 0.0000, 0.7566)  4 Cd 3.39, 4 Sc 3.45, 1 Eu 3.73
Eu (0.0000, 0.0000, 0.2434)  4 Cd 3.39, 4 Sc 3.45, 1 Eu 3.73
Sc (0.5000, 0.5000, 0.5000)  8 Eu 3.45, 2 Cd 3.83
Cd (0.5000, 0.5000, 0.0000)  8 Eu 3.39

Output
- symmetry = P4/mmm (123)
- Fermi-level density of states (states/eV per atom) = 0.956
- energy above the lowest structure with this stoichiometry (kJ per mole of atoms) = 0.0
- calculated formation energy (kJ/mol of atoms) = -3.4
- VASP energy (eV per atom) = -6.984


[2]
DFT (PBE-GGA) results for crystalline EuSc2Cd at its relaxed geometry.

Unit cell a=3.4228 b=3.4228 c=9.1241 alpha=90.00 beta=90.00 gamma=90.00
With the nearest neighbours (Å) after each atom.
Atoms (fractional coordinates):
Eu (0.5000, 0.5000, 0.5000)  4 Eu 3.42, 8 Sc 3.59
Sc (0.0000, 0.0000, 0.7909)  4 Cd 3.08, 4 Sc 3.42
Sc (0.0000, 0.0000, 0.2091)  4 Cd 3.08, 4 Sc 3.42
Cd (0.5000, 0.5000, 0.0000)  8 Sc 3.08, 4 Cd 3.42

Output
- symmetry = P4/mmm (123)
- Fermi-level density of states (states/eV per atom) = 1.388
- energy above the lowest structure with this stoichiometry (kJ per mole of atoms) = 0.0
- calculated formation energy (kJ/mol of atoms) = -1.4
- VASP energy (eV per atom) = -5.978


[3]
DFT (PBE-GGA) results for crystalline Eu2ScCd at its relaxed geometry.

Unit cell a=3.4546 b=3.4546 c=12.0927 alpha=81.79 beta=81.79 gamma=60.00
With the nearest neighbours (Å) after each atom.
Atoms (fractional coordinates):
Eu (0.9109, 0.9109, 0.2674)  1 Sc 3.19, 3 Cd 3.42, 6 Eu 3.45
Eu (0.0891, 0.0891, 0.7326)  1 Sc 3.19, 3 Cd 3.42, 6 Eu 3.45
Sc (0.0000, 0.0000, 0.0000)  2 Eu 3.19, 6 Sc 3.45
Cd (0.5000, 0.5000, 0.5000)  6 Eu 3.42, 6 Cd 3.45

Output
- symmetry = R-3m (166)
- Fermi-level density of states (states/eV per atom) = 1.289
- energy above the lowest structure with this stoichiometry (kJ per mole of atoms) = 23.0
- calculated formation energy (kJ/mol of atoms) = 19.6
- VASP energy (eV per atom) = -6.746


[4]
DFT (PBE-GGA) results for crystalline EuSc2Cd at its relaxed geometry.

Unit cell a=4.7202 b=4.7024 c=4.7024 alpha=90.00 beta=90.00 gamma=90.00
With the nearest neighbours (Å) after each atom.
Atoms (fractional coordinates):
Sc (0.0000, 0.0000, 0.5000)  4 Sc 3.33, 4 Cd 3.33, 4 Eu 3.33
Sc (0.0000, 0.5000, 0.0000)  4 Sc 3.33, 4 Cd 3.33, 4 Eu 3.33
Cd (0.5000, 0.0000, 0.0000)  4 Eu 3.33, 8 Sc 3.33
Eu (0.5000, 0.5000, 0.5000)  4 Cd 3.33, 8 Sc 3.33

Output
- symmetry = P4/mmm (123)
- Fermi-level density of states (states/eV per atom) = 1.392
- energy above the lowest structure with this stoichiometry (kJ per mole of atoms) = 2.3
- calculated formation energy (kJ/mol of atoms) = 0.9
- VASP energy (eV per atom) = -5.954


[5]
DFT (PBE-GGA) results for crystalline EuSc2Cd at its relaxed geometry.

Unit cell a=5.2389 b=5.2389 c=5.2389 alpha=60.00 beta=60.00 gamma=60.00
With the nearest neighbours (Å) after each atom.
Atoms (fractional coordinates):
Cd (0.0000, 0.0000, 0.0000)  8 Sc 3.21
Sc (0.7500, 0.7500, 0.7500)  4 Eu 3.21, 4 Cd 3.21
Sc (0.2500, 0.2500, 0.2500)  4 Cd 3.21, 4 Eu 3.21
Eu (0.5000, 0.5000, 0.5000)  8 Sc 3.21

Output
- symmetry = Fm-3m (225)
- Fermi-level density of states (states/eV per atom) = 1.622
- energy above the lowest structure with this stoichiometry (kJ per mole of atoms) = 6.6
- calculated formation energy (kJ/mol of atoms) = 5.2
- VASP energy (eV per atom) = -5.909


[6]
DFT (PBE-GGA) results for crystalline SmEuScCd at its relaxed geometry.

Unit cell a=5.4837 b=5.4837 c=5.4837 alpha=60.00 beta=60.00 gamma=60.00
With the nearest neighbours (Å) after each atom.
Atoms (fractional coordinates):
Eu (0.5000, 0.5000, 0.5000)  4 Cd 3.36, 4 Sc 3.36
Sm (0.0000, 0.0000, 0.0000)  4 Cd 3.36, 4 Sc 3.36
Cd (0.2500, 0.2500, 0.2500)  4 Sm 3.36, 4 Eu 3.36
Sc (0.7500, 0.7500, 0.7500)  4 Sm 3.36, 4 Eu 3.36

Output
- symmetry = F-43m (216)
- Fermi-level density of states (states/eV per atom) = 0.891
- calculated formation energy (kJ/mol of atoms) = -0.5
- VASP energy (eV per atom) = -5.565


[7]
DFT (PBE-GGA) results for crystalline EuScCdSn at its relaxed geometry.

Unit cell a=5.2693 b=5.2693 c=5.2693 alpha=60.00 beta=60.00 gamma=60.00
With the nearest neighbours (Å) after each atom.
Atoms (fractional coordinates):
Sc (0.0000, 0.0000, 0.0000)  4 Cd 3.23, 4 Sn 3.23
Eu (0.5000, 0.5000, 0.5000)  4 Sn 3.23, 4 Cd 3.23
Sn (0.7500, 0.7500, 0.7500)  4 Sc 3.23, 4 Eu 3.23
Cd (0.2500, 0.2500, 0.2500)  4 Eu 3.23, 4 Sc 3.23

Output
- symmetry = F-43m (216)
- Fermi-level density of states (states/eV per atom) = 0.813
- calculated formation energy (kJ/mol of atoms) = -42.4
- VASP energy (eV per atom) = -5.821


[8]
DFT (PBE-GGA) results for crystalline EuYScCd at its relaxed geometry.

Unit cell a=5.4482 b=5.4482 c=5.4482 alpha=60.00 beta=60.00 gamma=60.00
With the nearest neighbours (Å) after each atom.
Atoms (fractional coordinates):
Eu (0.2500, 0.2500, 0.2500)  4 Cd 3.34, 4 Sc 3.34
Sc (0.5000, 0.5000, 0.5000)  4 Eu 3.34, 4 Y 3.34
Y (0.7500, 0.7500, 0.7500)  4 Cd 3.34, 4 Sc 3.34
Cd (0.0000, 0.0000, 0.0000)  4 Eu 3.34, 4 Y 3.34

Output
- symmetry = F-43m (216)
- Fermi-level density of states (states/eV per atom) = 0.944
- calculated formation energy (kJ/mol of atoms) = -0.1
- VASP energy (eV per atom) = -5.997


[9]
DFT (PBE-GGA) results for crystalline EuScZnCd at its relaxed geometry.

Unit cell a=5.1584 b=5.1584 c=5.1584 alpha=60.00 beta=60.00 gamma=60.00
With the nearest neighbours (Å) after each atom.
Atoms (fractional coordinates):
Sc (0.0000, 0.0000, 0.0000)  4 Cd 3.16, 4 Zn 3.16
Zn (0.2500, 0.2500, 0.2500)  4 Sc 3.16, 4 Eu 3.16
Eu (0.5000, 0.5000, 0.5000)  4 Zn 3.16, 4 Cd 3.16
Cd (0.7500, 0.7500, 0.7500)  4 Sc 3.16, 4 Eu 3.16

Output
- symmetry = F-43m (216)
- Fermi-level density of states (states/eV per atom) = 1.375
- calculated formation energy (kJ/mol of atoms) = -20.3
- VASP energy (eV per atom) = -4.909


[10]
DFT (PBE-GGA) results for crystalline Eu2CdSe at its relaxed geometry.

Unit cell a=3.8448 b=3.8448 c=7.6453 alpha=90.00 beta=90.00 gamma=90.00
With the nearest neighbours (Å) after each atom.
Atoms (fractional coordinates):
Se (0.5000, 0.5000, 0.0000)  8 Eu 3.24
Eu (0.0000, 0.0000, 0.2305)  4 Se 3.24, 4 Cd 3.41, 1 Eu 3.53
Eu (0.0000, 0.0000, 0.7695)  4 Se 3.24, 4 Cd 3.41, 1 Eu 3.53
Cd (0.5000, 0.5000, 0.5000)  8 Eu 3.41

Output
- energy relative to the elements, uncorrected (eV per atom) = -0.993
- symmetry = P4/mmm (123)
- Fermi-level density of states (states/eV per atom) = 0.543
- VASP energy (eV per atom) = -7.230


[11]
DFT (PBE-GGA) results for crystalline EuCdSi at its relaxed geometry.

Unit cell a=4.3815 b=4.4814 c=4.4814 alpha=120.00 beta=90.00 gamma=90.00
With the nearest neighbours (Å) after each atom.
Atoms (fractional coordinates):
Eu (0.6667, 0.6667, 0.3333)  6 Si 3.39, 6 Cd 3.39
Cd (0.1667, 0.3333, 0.6667)  3 Si 2.59
Si (0.1665, 0.0000, 0.0000)  3 Cd 2.59

Output
- energy relative to the elements, uncorrected (eV per atom) = -0.328
- symmetry = P-6m2 (187)
- Fermi-level density of states (states/eV per atom) = 3.531
- VASP energy (eV per atom) = -5.866


[12]
DFT (PBE-GGA) results for crystalline EuCdSi at its relaxed geometry.

Unit cell a=4.8073 b=4.8073 c=4.8073 alpha=60.00 beta=60.00 gamma=60.00
With the nearest neighbours (Å) after each atom.
Atoms (fractional coordinates):
Si (0.2500, 0.2500, 0.2500)  4 Cd 2.94, 4 Eu 2.94
Cd (0.5000, 0.5000, 0.5000)  4 Si 2.94
Eu (0.0000, 0.0000, 0.0000)  4 Si 2.94

Output
- energy relative to the elements, uncorrected (eV per atom) = -0.326
- symmetry = F-43m (216)
- Fermi-level density of states (states/eV per atom) = 3.571
- VASP energy (eV per atom) = -5.863